Record 1
# Zr5Mn

Zr5Mn at its PBEsol-relaxed geometry (meta-GGA SCAN, Alexandria).

- V (Å³ per atom) = 19.9
- energy relative to the elements (eV per formula unit) = 0.10
- SG = C2/m, No. 12
- size of the total moment (μB/atom) = 0.000

Lattice parameters (Å, degrees): 3.242 5.606 7.268 108.36 90.00 106.80
Sites, in units of the cell vectors:
Zr  0.362  0.725  0.136
Zr  0.330  0.659  0.690
Zr  0.638  0.275  0.864
Zr  0.670  0.341  0.310
Mn  0.000  0.000  0.000
Zr  0.000  0.000  0.500

Record 2
# ZrMn4

ZrMn4 at its PBEsol-relaxed geometry (meta-GGA SCAN, Alexandria).

- V (Å³ per atom) = 12.6
- energy relative to the elements (eV per formula unit) = 1.39
- SG = I4/m, No. 87
- polymorph energy (0 for the lowest one) (eV/atom) = 0.2653
- size of the total moment (μB/atom) = 0.011

Lattice parameters (Å, degrees): 4.381 4.384 4.384 75.54 60.02 60.02
Sites, in units of the cell vectors:
Zr  0.000  0.000  0.000
Mn  0.477  0.321  0.726
Mn  0.203  0.274  0.321
Mn  0.797  0.726  0.679
Mn  0.523  0.679  0.274

Record 3
# ZrMn2

ZrMn2 at its PBEsol-relaxed geometry (meta-GGA SCAN, Alexandria).

- V (Å³ per atom) = 13.8
- energy relative to the elements (eV per formula unit) = -0.44
- SG = Fd-3m, No. 227
- size of the total moment (μB/atom) = 0.621

Lattice parameters (Å, degrees): 4.891 4.891 4.891 60.00 60.00 60.00
Sites, in units of the cell vectors:
Mn  0.125  0.625  0.625
Mn  0.625  0.125  0.625
Mn  0.625  0.625  0.125
Zr  0.250  0.250  0.250
Zr  0.000  0.000  0.000
Mn  0.625  0.625  0.625

Record 4
# ZrMn2

ZrMn2 at its PBEsol-relaxed geometry (meta-GGA SCAN, Alexandria).

- V (Å³ per atom) = 13.8
- energy relative to the elements (eV per formula unit) = -0.45
- SG = P6_3/mmc, No. 194
- size of the total moment (μB/atom) = 0.652

Lattice parameters (Å, degrees): 4.869 4.869 16.096 90.00 90.00 120.00
Sites, in units of the cell vectors:
Mn  0.667  0.333  0.125
Zr  0.000  0.000  0.093
Zr  0.000  0.000  0.407
Mn  0.333  0.667  0.875
Mn  0.667  0.333  0.375
Zr  0.333  0.667  0.156
Mn  0.500  0.500  0.500
Zr  0.667  0.333  0.844
Mn  0.000  0.500  0.000
Mn  0.333  0.667  0.625
Zr  0.667  0.333  0.656
Mn  0.328  0.164  0.250
Mn  0.500  0.000  0.500
Mn  0.672  0.836  0.750
Mn  0.000  0.500  0.500
Zr  0.000  0.000  0.593
Mn  0.164  0.328  0.750
Mn  0.164  0.836  0.750
Zr  0.333  0.667  0.344
Mn  0.836  0.164  0.250
Mn  0.836  0.672  0.250
Mn  0.500  0.000  0.000
Zr  0.000  0.000  0.907
Mn  0.500  0.500  0.000

Record 5
# ZrMn

ZrMn at its PBEsol-relaxed geometry (meta-GGA SCAN, Alexandria).

- V (Å³ per atom) = 17.7
- energy relative to the elements (eV per formula unit) = 0.88
- SG = Fm-3m, No. 225
- size of the total moment (μB/atom) = 1.098

Lattice parameters (Å, degrees): 3.689 3.689 3.689 60.00 60.00 60.00
Sites, in units of the cell vectors:
Mn  0.000  0.000  0.000
Zr  0.500  0.500  0.500

Record 6
# Zr2Mn

Zr2Mn at its PBEsol-relaxed geometry (meta-GGA SCAN, Alexandria).

- V (Å³ per atom) = 17.8
- energy relative to the elements (eV per formula unit) = -0.11
- SG = Fd-3m, No. 227
- size of the total moment (μB/atom) = 0.378

Lattice parameters (Å, degrees): 8.452 8.452 8.452 60.00 60.00 60.00
Sites, in units of the cell vectors:
Mn  0.752  0.416  0.416
Zr  0.812  0.188  0.812
Zr  0.188  0.812  0.188
Zr  0.188  0.812  0.812
Zr  0.188  0.188  0.812
Mn  0.498  0.834  0.834
Mn  0.834  0.834  0.498
Mn  0.834  0.834  0.834
Mn  0.416  0.416  0.416
Zr  0.438  0.062  0.438
Zr  0.438  0.062  0.062
Zr  0.812  0.188  0.188
Mn  0.834  0.498  0.834
Zr  0.438  0.438  0.062
Zr  0.062  0.438  0.062
Zr  0.125  0.625  0.625
Zr  0.062  0.062  0.438
Zr  0.625  0.625  0.125
Zr  0.812  0.812  0.188
Zr  0.625  0.625  0.625
Zr  0.062  0.438  0.438
Mn  0.416  0.416  0.752
Mn  0.416  0.752  0.416
Zr  0.625  0.125  0.625